This record from Alexandria via LeMat-Bulk describes crystalline YbPd3 at its relaxed geometry. The functional is PBE.

```
4
Lattice="4.125 0.000 0.000 0.000 4.125 0.000 0.000 0.000 4.125" Properties=species:S:1:pos:R:3 pbc="T T T"
Yb 0.000 0.000 0.000
Pd 0.000 2.062 2.062
Pd 2.062 0.000 2.062
Pd 2.062 2.062 0.000
```

---

This record from Alexandria via LeMat-Bulk describes crystalline Yb5Pd2 at its relaxed geometry. The functional is PBE.

```
14
Lattice="8.074 -3.236 0.000 8.074 3.236 0.000 -0.992 0.000 7.542" Properties=species:S:1:pos:R:3 pbc="T T T"
Yb 7.330 2.666 5.656
Yb 3.224 0.550 2.377
Yb 6.524 0.754 0.586
Yb 2.728 -0.550 6.148
Yb 9.129 0.754 3.184
Yb 6.028 -0.754 4.357
Yb 12.429 0.550 1.394
Yb 8.633 -0.754 6.955
Yb 11.933 -0.550 5.165
Yb 7.826 -2.666 1.885
Pd 5.889 1.924 3.169
Pd 9.764 1.924 0.602
Pd 5.393 -1.924 6.940
Pd 9.268 -1.924 4.373
```

---

This record from Alexandria via LeMat-Bulk describes crystalline YbPd at its relaxed geometry. The functional is PBE.

```
8
Lattice="7.199 0.000 0.000 0.000 4.436 0.000 0.000 0.000 5.709" Properties=species:S:1:pos:R:3 pbc="T T T"
Yb 1.301 1.109 0.782
Yb 2.298 3.327 3.637
Yb 4.901 1.109 2.072
Yb 5.898 3.327 4.927
Pd 0.279 1.109 3.690
Pd 3.321 3.327 0.835
Pd 3.878 1.109 4.874
Pd 6.920 3.327 2.019
```

---

This record from Alexandria via LeMat-Bulk describes crystalline YbPd at its relaxed geometry. The functional is PBE.

```
2
Lattice="3.512 0.000 0.000 0.000 3.512 0.000 0.000 0.000 3.512" Properties=species:S:1:pos:R:3 pbc="T T T"
Yb 0.000 0.000 0.000
Pd 1.756 1.756 1.756
```

---

| no. | ΔH_f (0 K) (eV/atom) | V (Å³ per atom) |
| --- | --- | --- |
| 1 | -0.616 | 17.5 |
| 2 | -0.620 | 28.2 |
| 3 | -0.797 | 22.8 |
| 4 | -0.779 | 21.7 |